# 1
DFT (PBE) results for an optimized crystal structure of BaCa2.

Output
* DFT formation energy: 0.5367 eV/atom
* D(E_F): 5.342 states/eV/cell
* VASP energy: -1.439 eV per atom
* theoretical density: 2.00 g cm⁻³
* SG: Fm-3m

Cell lengths 6.3465, 6.3465, 6.3465 Å; angles 60.00, 60.00, 60.00 degrees
With the nearest neighbours (Å) after each atom.
Fractional positions:
Ba 0.0000 0.0000 0.0000  8 Ca 3.89
Ca 0.2500 0.2500 0.2500  4 Ba 3.89
Ca 0.7500 0.7500 0.7500  4 Ba 3.89



# 2
DFT (PBE) results for an optimized crystal structure of BaCa.

Output
* DFT formation energy: 0.1450 eV/atom
* D(E_F): 12.111 states/eV/cell
* VASP energy: -1.817 eV per atom
* theoretical density: 2.62 g cm⁻³
* SG: P6_3/mmc

Cell lengths 6.5502, 6.5502, 12.1169 Å; angles 90.00, 90.00, 120.00 degrees
With the nearest neighbours (Å) after each atom.
Fractional positions:
Ba 0.3333 0.6667 0.0803  7 Ca 4.00-4.30, 4 Ba 4.11-4.25
Ba 0.3333 0.6667 0.4197  7 Ca 4.00-4.30, 4 Ba 4.11-4.25
Ba 0.6667 0.3333 0.5803  7 Ca 4.00-4.30, 4 Ba 4.11-4.25
Ba 0.6667 0.3333 0.9197  7 Ca 4.00-4.30, 4 Ba 4.11-4.25
Ca 0.0000 0.0000 0.2500  3 Ca 3.78
Ca 0.0000 0.0000 0.7500  3 Ca 3.78
Ca 0.3333 0.6667 0.7500  3 Ca 3.78, 2 Ba 4.00
Ca 0.6667 0.3333 0.2500  3 Ca 3.78, 2 Ba 4.00



# 3
DFT (PBE) results for an optimized crystal structure of Ba3Ca.

Output
* DFT formation energy: 0.0330 eV/atom
* D(E_F): 13.904 states/eV/cell
* VASP energy: -1.909 eV per atom
* theoretical density: 3.24 g cm⁻³
* SG: P6_3/mmc

Cell lengths 8.6554, 8.6554, 7.1362 Å; angles 90.00, 90.00, 120.00 degrees
With the nearest neighbours (Å) after each atom.
Fractional positions:
Ba 0.1682 0.3364 0.2500  8 Ba 4.29-4.37, 4 Ca 4.33-4.34
Ba 0.1682 0.8318 0.2500  8 Ba 4.29-4.37, 4 Ca 4.33-4.34
Ba 0.3364 0.1682 0.7500  8 Ba 4.29-4.37, 4 Ca 4.33-4.34
Ba 0.6636 0.8318 0.2500  8 Ba 4.29-4.37, 4 Ca 4.33-4.34
Ba 0.8318 0.1682 0.7500  8 Ba 4.29-4.37, 4 Ca 4.33-4.34
Ba 0.8318 0.6636 0.7500  8 Ba 4.29-4.37, 4 Ca 4.33-4.34
Ca 0.3333 0.6667 0.7500  12 Ba 4.33-4.34
Ca 0.6667 0.3333 0.2500  12 Ba 4.33-4.34



# 4
DFT (PBE) results for an optimized crystal structure of BaCa.

Output
* DFT formation energy: 0.7845 eV/atom
* D(E_F): 15.617 states/eV/cell
* VASP energy: -1.178 eV per atom
* theoretical density: 1.31 g cm⁻³
* SG: I-43m

Cell lengths 10.5212, 10.5212, 10.5212 Å; angles 109.47, 109.47, 109.47 degrees
With the nearest neighbours (Å) after each atom.
Fractional positions:
Ba 0.0000 0.0000 0.4067  4 Ca 4.00-4.12
Ba 0.0000 0.4067 0.0000  4 Ca 4.00-4.12
Ba 0.4067 0.0000 0.0000  4 Ca 4.00-4.12
Ba 0.5933 0.5933 0.5933  4 Ca 4.00-4.12
Ca 0.0000 0.0000 0.7866  3 Ca 3.67, 1 Ba 4.00
Ca 0.0000 0.7866 0.0000  3 Ca 3.67, 1 Ba 4.00
Ca 0.2134 0.2134 0.2134  3 Ca 3.67, 1 Ba 4.00
Ca 0.7866 0.0000 0.0000  3 Ca 3.67, 1 Ba 4.00



# 5
DFT (PBE) results for an optimized crystal structure of Ba2Ca.

Output
* DFT formation energy: 0.2628 eV/atom
* D(E_F): 6.120 states/eV/cell
* VASP energy: -1.686 eV per atom
* theoretical density: 2.59 g cm⁻³
* SG: P4/mmm

Cell lengths 6.7868, 6.7868, 4.3802 Å; angles 90.00, 90.00, 90.00 degrees
With the nearest neighbours (Å) after each atom.
Fractional positions:
Ba 0.0000 0.5000 0.0000  4 Ca 4.04, 2 Ba 4.38
Ba 0.5000 0.0000 0.0000  4 Ca 4.04, 2 Ba 4.38
Ca 0.0000 0.0000 0.5000  8 Ba 4.04, 2 Ca 4.38



# 6
DFT (PBE) results for an optimized crystal structure of Ba3Ca.

Output
* DFT formation energy: 0.0233 eV/atom
* D(E_F): 6.291 states/eV/cell
* VASP energy: -1.919 eV per atom
* theoretical density: 3.25 g cm⁻³
* SG: P4/mmm

Cell lengths 4.8973, 4.8973, 9.6244 Å; angles 90.00, 90.00, 90.00 degrees
With the nearest neighbours (Å) after each atom.
Fractional positions:
Ba 0.0000 0.0000 0.0000  8 Ba 4.31, 2 Ca 4.81
Ba 0.5000 0.5000 0.2673  4 Ca 4.12, 5 Ba 4.31-4.48
Ba 0.5000 0.5000 0.7327  4 Ca 4.12, 5 Ba 4.31-4.48
Ca 0.0000 0.0000 0.5000  8 Ba 4.12



What did the first record say?
DFT (PBE) results for an optimized crystal structure of BaCa2.

Output
* DFT formation energy: 0.5367 eV/atom
* D(E_F): 5.342 states/eV/cell
* VASP energy: -1.439 eV per atom
* theoretical density: 2.00 g cm⁻³
* SG: Fm-3m

Cell lengths 6.3465, 6.3465, 6.3465 Å; angles 60.00, 60.00, 60.00 degrees
With the nearest neighbours (Å) after each atom.
Fractional positions:
Ba 0.0000 0.0000 0.0000  8 Ca 3.89
Ca 0.2500 0.2500 0.2500  4 Ba 3.89
Ca 0.7500 0.7500 0.7500  4 Ba 3.89



Repeat the fourth record exactly.
DFT (PBE) results for an optimized crystal structure of BaCa.

Output
* DFT formation energy: 0.7845 eV/atom
* D(E_F): 15.617 states/eV/cell
* VASP energy: -1.178 eV per atom
* theoretical density: 1.31 g cm⁻³
* SG: I-43m

Cell lengths 10.5212, 10.5212, 10.5212 Å; angles 109.47, 109.47, 109.47 degrees
With the nearest neighbours (Å) after each atom.
Fractional positions:
Ba 0.0000 0.0000 0.4067  4 Ca 4.00-4.12
Ba 0.0000 0.4067 0.0000  4 Ca 4.00-4.12
Ba 0.4067 0.0000 0.0000  4 Ca 4.00-4.12
Ba 0.5933 0.5933 0.5933  4 Ca 4.00-4.12
Ca 0.0000 0.0000 0.7866  3 Ca 3.67, 1 Ba 4.00
Ca 0.0000 0.7866 0.0000  3 Ca 3.67, 1 Ba 4.00
Ca 0.2134 0.2134 0.2134  3 Ca 3.67, 1 Ba 4.00
Ca 0.7866 0.0000 0.0000  3 Ca 3.67, 1 Ba 4.00



Question: Which value of theoretical density does entry 2 give?
Answer: 2.62 g cm⁻³



Question: Which value of VASP energy does entry 4 give?
Answer: -1.178 eV per atom